1.
Density functional theory data (PBE-GGA) for crystalline Sm12Tl5C2 at its relaxed geometry.

Computed properties:
- Total DFT energy (no corrections): -176.5 eV per cell
- Total magnetization: 2.195 μB/f.u.
- D(E_F): 1.0387 states/eV/atom

The structure in CIF format:
```
data_Sm12Tl5C2
_cell_length_a 17.1019
_cell_length_b 7.6442
_cell_length_c 9.8873
_cell_angle_alpha 90.00
_cell_angle_beta 106.83
_cell_angle_gamma 90.00
_space_group_name_H-M_alt 'C 1 2/m 1'
_space_group_IT_number 12
loop_
_space_group_symop_operation_xyz
'x,y,z'
'-x,-y,-z'
'-x,y,-z'
'x,-y,z'
'x+1/2,y+1/2,z'
'-x+1/2,-y+1/2,-z'
'-x+1/2,y+1/2,-z'
'x+1/2,-y+1/2,z'
loop_
_atom_site_label
_atom_site_fract_x
_atom_site_fract_y
_atom_site_fract_z
Sm1 0.0002 0.0000 0.1779
Sm2 0.0115 0.5000 0.8308
Sm3 0.1522 0.2551 0.5774
Sm4 0.1537 0.2506 0.0864
Tl1 0.0000 0.5000 0.5000
Tl2 0.1855 0.0000 0.8402
Tl3 0.1904 0.0000 0.3582
C1 0.0000 0.2518 0.0000
```

2.
Density functional theory data (PBE-GGA) for crystalline Nd3Zn2In2 at its relaxed geometry.

Computed properties:
- Total DFT energy (no corrections): -50.6 eV per cell
- Total magnetization: 0.000 μB/f.u.
- D(E_F): 1.0969 states/eV/atom

The structure in CIF format:
```
data_Nd3Zn2In2
_cell_length_a 4.5157
_cell_length_b 21.7808
_cell_length_c 3.6875
_cell_angle_alpha 90.00
_cell_angle_beta 90.00
_cell_angle_gamma 90.00
_space_group_name_H-M_alt 'C m m m'
_space_group_IT_number 65
_space_group_name_Hall '-C 2 2'
loop_
_atom_site_label
_atom_site_fract_x
_atom_site_fract_y
_atom_site_fract_z
Nd1 0.0000 0.0000 0.0000
Nd2 0.0000 0.1638 0.0000
Zn1 0.0000 0.2809 0.5000
In1 0.0000 0.4184 0.5000
```